Entry 1:
VASP calculation (PBE) on a relaxed Pr2PuSbN2 crystal.

Cell lengths 4.393, 4.393, 6.746 Å; angles 90.00, 90.00, 90.00 degrees
Space group P4/mmm (No. 123)
One atom of each set of equivalent atoms:
Pr 0.000 0.000 0.239 [2 per cell]
Pu 0.500 0.500 0.000 [1 per cell]
Sb 0.500 0.500 0.500 [1 per cell]
N 0.000 0.500 0.000 [2 per cell]

Total moment   0.75 μB per atom
Formation energy without anion corrections   -1.0955 eV/atom



Entry 2:
VASP calculation (PBE) on a relaxed Pr2PuSbN5 crystal.

Cell lengths 3.592, 14.360, 11.551 Å; angles 90.00, 90.00, 90.00 degrees
Space group Cmc2_1 (No. 36)
One atom of each set of equivalent atoms:
Pr 0.000 0.067 0.000 [4 per cell]
Pr 0.000 0.151 0.668 [4 per cell]
Pu 0.000 0.231 0.401 [4 per cell]
Sb 0.000 0.444 0.788 [4 per cell]
N 0.000 0.108 0.458 [4 per cell]
N 0.000 0.242 0.017 [4 per cell]
N 0.000 0.300 0.783 [4 per cell]
N 0.000 0.357 0.334 [4 per cell]
N 0.000 0.497 0.621 [4 per cell]

Total moment   0.17 μB per atom
Formation energy without anion corrections   -0.6340 eV/atom



Entry 3:
VASP calculation (PBE) on a relaxed Pr2Pu4Sb3N2 crystal.

Cell lengths 4.649, 4.649, 26.326 Å; angles 90.00, 90.00, 90.00 degrees
Space group I4/mmm (No. 139)
One atom of each set of equivalent atoms:
Pr 0.000 0.000 0.196 [4 per cell]
Pu 0.000 0.500 0.084 [8 per cell]
Sb 0.000 0.000 0.323 [4 per cell]
Sb 0.000 0.000 0.500 [2 per cell]
N 0.000 0.000 0.102 [4 per cell]

Total moment   2.04 μB per atom
Formation energy without anion corrections   -0.9736 eV/atom